Here is crystalline BeFe2Ag at its relaxed geometry from Alexandria. Energies are from GGA-PBE.

Properties
space group: I4/mmm, No. 139
calculated formation energy: 0.264 eV per atom
N(E_F): 2.76 states/eV/f.u.

Cell and atoms, written as POSCAR:
```
BeFe2Ag
1.0
4.726 -0.004 0.000
2.122 4.222 0.000
-3.424 -2.109 2.482
Be Fe Ag
1 2 1
direct
0.750 0.250 0.500 Be
0.000 0.000 0.000 Fe
0.500 0.500 0.000 Fe
0.250 0.750 0.500 Ag
```

***

Here is crystalline Zn2CoSi at its relaxed geometry from Alexandria. Energies are from GGA-PBE.

Properties
space group: Pmmm, No. 47
N(E_F): 1.73 states/eV/f.u.
formation energy without anion corrections: 0.04 eV per atom

Cell and atoms, written as POSCAR:
```
Zn2CoSi
1.0
-0.781 -1.449 2.214
3.845 -0.286 1.169
-0.444 3.950 2.429
Co Si Zn
1 1 2
direct
0.500 0.000 0.500 Co
0.000 0.500 0.500 Si
0.000 0.000 0.000 Zn
0.500 0.500 0.000 Zn
```

***

Here is crystalline BaAl2Ga2 at its relaxed geometry from Alexandria. Energies are from GGA-PBE.

Properties
space group: P4/mbm, No. 127
calculated formation energy: -0.055 eV per atom
N(E_F): 1.57 states/eV/f.u.

Cell and atoms, written as POSCAR:
```
BaAl2Ga2
1.0
-6.434 -0.387 5.310
-5.275 -0.663 -6.440
0.284 -3.278 0.105
Ba Ga Al
2 4 4
direct
0.000 0.000 0.000 Ba
0.500 0.500 0.000 Ba
0.366 0.866 0.000 Ga
0.866 0.634 0.000 Ga
0.634 0.134 0.000 Ga
0.134 0.366 0.000 Ga
0.144 0.644 0.500 Al
0.644 0.856 0.500 Al
0.856 0.356 0.500 Al
0.356 0.144 0.500 Al
```

***

Here is crystalline Be3SN at its relaxed geometry from Alexandria. Energies are from GGA-PBE.

Properties
space group: Pm-3m, No. 221
relative energy among the computed polymorphs: 0.00 eV/f.u.
N(E_F): 2.08 states/eV/f.u.
formation energy without anion corrections: -0.14 eV per atom

Cell and atoms, written as POSCAR:
```
Be3SN
1.0
-1.662 -2.430 -1.979
2.965 -1.944 -0.103
-1.014 -1.702 2.942
Be S N
3 1 1
direct
0.000 0.500 0.000 Be
0.000 0.000 0.500 Be
0.500 0.000 0.000 Be
0.500 0.500 0.500 S
0.000 0.000 0.000 N
```

***

Here is crystalline Cr2AgP at its relaxed geometry from Alexandria. Energies are from GGA-PBE.

Properties
space group: P4mm, No. 99
calculated formation energy: 0.187 eV per atom
N(E_F): 3.30 states/eV/f.u.

Cell and atoms, written as POSCAR:
```
Cr2AgP
1.0
-0.042 0.819 -2.840
1.331 -2.530 -0.749
-5.937 -2.903 -0.749
Ag Cr P
1 2 1
direct
0.500 0.500 0.747 Ag
0.000 0.000 0.045 Cr
0.500 0.500 0.272 Cr
0.000 0.000 0.436 P
```

***

Here is crystalline PuPd5Pt at its relaxed geometry from Alexandria. Energies are from GGA-PBE.

Properties
space group: P-1, No. 2
relative energy among the computed polymorphs: 0.00 eV/f.u.
calculated formation energy: -0.280 eV per atom
N(E_F): 13.70 states/eV/f.u.

Cell and atoms, written as POSCAR:
```
PuPd5Pt
1.0
-3.851 -1.981 3.054
-3.601 -0.167 -3.894
6.004 -8.958 5.867
Pu Pd Pt
2 10 2
direct
0.999 0.001 0.999 Pu
0.999 0.501 0.499 Pu
0.824 0.076 0.249 Pd
0.174 0.927 0.749 Pd
0.950 0.684 0.314 Pd
0.368 0.138 0.184 Pd
0.241 0.498 0.028 Pd
0.467 0.713 0.470 Pd
0.758 0.504 0.970 Pd
0.531 0.289 0.529 Pd
0.630 0.864 0.814 Pd
0.048 0.319 0.685 Pd
0.533 0.281 0.749 Pt
0.465 0.721 0.250 Pt
```

***

Here is crystalline K3LiZr2Se6 at its relaxed geometry from Alexandria. Energies are from GGA-PBE.

Properties
space group: C2/m, No. 12
formation energy without anion corrections: -1.35 eV per atom

Cell and atoms, written as POSCAR:
```
K3LiZr2Se6
1.0
-4.060 -3.021 4.858
6.930 0.439 0.992
-1.871 7.586 1.471
K Li Zr Se
3 1 2 6
direct
0.161 0.839 0.500 K
0.839 0.161 0.500 K
0.500 0.500 0.500 K
0.000 0.000 0.000 Li
0.333 0.667 0.000 Zr
0.667 0.333 0.000 Zr
0.934 0.585 0.802 Se
0.717 0.717 0.196 Se
0.066 0.415 0.198 Se
0.585 0.934 0.802 Se
0.283 0.283 0.804 Se
0.415 0.066 0.198 Se
```

***

Here is crystalline Pr5P4F at its relaxed geometry from Alexandria. Energies are from GGA-PBE.

Properties
space group: I4, No. 79
N(E_F): 3.81 states/eV/f.u.
formation energy without anion corrections: -1.75 eV per atom

Cell and atoms, written as POSCAR:
```
Pr5P4F
1.0
5.305 0.000 2.559
2.653 6.571 1.279
-0.202 0.000 7.198
Pr P F
5 4 1
direct
0.896 0.413 0.796 Pr
0.309 0.796 0.587 Pr
0.692 0.204 0.413 Pr
0.105 0.587 0.204 Pr
0.459 0.000 0.000 Pr
0.401 0.396 0.802 P
0.797 0.802 0.604 P
0.202 0.198 0.396 P
0.599 0.604 0.198 P
0.051 0.000 0.000 F
```

***

Here is crystalline Na2ScTi at its relaxed geometry from Alexandria. Energies are from GGA-PBE.

Properties
space group: Fm-3m, No. 225
relative energy among the computed polymorphs: 0.00 eV/f.u.
calculated formation energy: 0.838 eV per atom
N(E_F): 7.60 states/eV/f.u.

Cell and atoms, written as POSCAR:
```
Na2ScTi
1.0
1.045 -4.297 2.826
-2.317 -4.555 -1.196
2.811 -3.902 -2.100
Sc Na Ti
1 2 1
direct
0.000 0.000 0.000 Sc
0.250 0.250 0.250 Na
0.750 0.750 0.750 Na
0.500 0.500 0.500 Ti
```

***

Here is crystalline Dy3YCo8 at its relaxed geometry from Alexandria. Energies are from GGA-PBE.

Properties
space group: R3m, No. 160
calculated formation energy: -0.197 eV per atom
N(E_F): 15.48 states/eV/f.u.

Cell and atoms, written as POSCAR:
```
Dy3YCo8
1.0
4.854 0.000 1.465
2.206 4.323 1.465
-0.004 -0.003 8.786
Dy Y Co
3 1 8
direct
0.375 0.375 0.875 Dy
0.000 0.000 0.000 Dy
0.500 0.500 0.500 Dy
0.875 0.875 0.375 Y
0.938 0.438 0.187 Co
0.437 0.938 0.688 Co
0.438 0.438 0.187 Co
0.938 0.938 0.688 Co
0.187 0.187 0.438 Co
0.687 0.687 0.938 Co
0.438 0.938 0.187 Co
0.938 0.437 0.688 Co
```

***

Here is crystalline AcCuBiO4 at its relaxed geometry from Alexandria. Energies are from GGA-PBE.

Properties
space group: Cmcm, No. 63
N(E_F): 4.36 states/eV/f.u.
formation energy without anion corrections: -1.63 eV per atom

Cell and atoms, written as POSCAR:
```
AcCuBiO4
1.0
5.558 0.046 0.000
-2.190 5.109 0.000
0.000 0.000 8.121
Ac Cu Bi O
2 2 2 8
direct
0.500 0.500 0.500 Ac
0.500 0.500 0.000 Ac
0.179 0.821 0.250 Cu
0.821 0.179 0.750 Cu
0.835 0.165 0.250 Bi
0.165 0.835 0.750 Bi
0.245 0.247 0.750 O
0.753 0.755 0.750 O
0.773 0.227 0.973 O
0.773 0.227 0.527 O
0.227 0.773 0.027 O
0.227 0.773 0.473 O
0.755 0.753 0.250 O
0.247 0.245 0.250 O
```

***

Here is crystalline Pm4GaAg at its relaxed geometry from Alexandria. Energies are from GGA-PBE.

Properties
space group: F-43m, No. 216
relative energy among the computed polymorphs: 0.00 eV/f.u.
calculated formation energy: -0.234 eV per atom
N(E_F): 9.67 states/eV/f.u.

Cell and atoms, written as POSCAR:
```
Pm4GaAg
1.0
-6.484 -6.371 4.039
0.508 -9.685 -2.212
3.051 -6.517 6.868
Pm Ga Ag
16 4 4
direct
0.383 0.383 0.383 Pm
0.851 0.383 0.383 Pm
0.383 0.851 0.383 Pm
0.383 0.383 0.851 Pm
0.561 0.561 0.939 Pm
0.939 0.939 0.561 Pm
0.561 0.939 0.561 Pm
0.939 0.561 0.939 Pm
0.939 0.561 0.561 Pm
0.561 0.939 0.939 Pm
0.187 0.187 0.813 Pm
0.813 0.813 0.187 Pm
0.187 0.813 0.187 Pm
0.813 0.187 0.813 Pm
0.813 0.187 0.187 Pm
0.187 0.813 0.813 Pm
0.599 0.599 0.599 Ga
0.203 0.599 0.599 Ga
0.599 0.203 0.599 Ga
0.599 0.599 0.203 Ga
0.163 0.163 0.163 Ag
0.512 0.163 0.163 Ag
0.163 0.512 0.163 Ag
0.163 0.163 0.512 Ag
```

***

Looking at E for the records above, in order, we have -5.61; -3.73; -3.15; -4.87; -6.69; -6.90; -4.95; -6.49; -3.38; -6.62; -6.19; -4.38 eV per atom.
Looking at total magnetic moment for the records above, in order, we have 4.7; 0.4; 0.0; 0.0; 2.1; 4.4; 0.0; 0.0; 2.1; 7.6; 0.9; 0.0 μB per formula unit.